(1)
Entry from Alexandria: a relaxed structure of DyPaAgRu (PBE-GGA).

Results
The value obtained for the formation energy from the elements is -11.0 kJ per mole of atoms. For the calculated density, the calculation gives 11.5 g/cm3. The symmetry is F-43m (216).

Unit cell a=4.9732 b=4.9732 c=4.9732 alpha=60.00 beta=60.00 gamma=60.00
Atoms (fractional coordinates):
1 Dy 0.0000 0.0000 0.0000
2 Pa 0.5000 0.5000 0.5000
3 Ag 0.2500 0.2500 0.2500
4 Ru 0.7500 0.7500 0.7500

***

(2)
Entry from Alexandria: a relaxed structure of TiTl2Ge3O9 (PBE-GGA).

Results
The final energy is -6.5019 eV per atom. For the calculated density, the calculation gives 5.9 g/cm3. The symmetry is P6_3/m (176).

Unit cell a=7.0992 b=7.0992 c=10.4858 alpha=90.00 beta=90.00 gamma=120.00
Atoms (fractional coordinates):
1 Ti 0.0000 0.0000 0.0000
2 Ti 0.0000 0.0000 0.5000
3 Tl 0.3333 0.6667 0.0575
4 Tl 0.3333 0.6667 0.4425
5 Tl 0.6667 0.3333 0.5575
6 Tl 0.6667 0.3333 0.9425
7 Ge 0.1254 0.3675 0.7500
8 Ge 0.2421 0.8746 0.7500
9 Ge 0.3675 0.2421 0.2500
10 Ge 0.6325 0.7579 0.7500
11 Ge 0.7579 0.1254 0.2500
12 Ge 0.8746 0.6325 0.2500
13 O 0.0081 0.2329 0.6075
14 O 0.0081 0.2329 0.8925
15 O 0.0641 0.5863 0.7500
16 O 0.2249 0.9919 0.6075
17 O 0.2249 0.9919 0.8925
18 O 0.2329 0.2249 0.1075
19 O 0.2329 0.2249 0.3925
20 O 0.4137 0.4778 0.7500
21 O 0.4778 0.0641 0.2500
22 O 0.5222 0.9359 0.7500
23 O 0.5863 0.5222 0.2500
24 O 0.7671 0.7751 0.6075
25 O 0.7671 0.7751 0.8925
26 O 0.7751 0.0081 0.1075
27 O 0.7751 0.0081 0.3925
28 O 0.9359 0.4137 0.2500
29 O 0.9919 0.7671 0.1075
30 O 0.9919 0.7671 0.3925

***

(3)
Entry from Alexandria: a relaxed structure of TcAg2Pd (PBE-GGA).

Results
As for the energy above the most stable polymorph in this dataset: 7.18 kcal/mol of atoms. The value obtained for the formation energy from the elements is 84.6 kJ per mole of atoms. For the calculated density, the calculation gives 9.2 g/cm3. The symmetry is I-42d (122).

Unit cell a=5.9322 b=5.9322 c=5.9322 alpha=102.07 beta=102.07 gamma=125.58
Atoms (fractional coordinates):
1 Tc 0.0000 0.0000 0.0000
2 Tc 0.7500 0.2500 0.5000
3 Ag 0.1317 0.6250 0.0067
4 Ag 0.3750 0.3817 0.5067
5 Ag 0.6183 0.1250 0.9933
6 Ag 0.8750 0.8683 0.4933
7 Pd 0.2500 0.7500 0.5000
8 Pd 0.5000 0.5000 0.0000

***

(4)
Entry from Alexandria: a relaxed structure of SbAs2Pt (PBE-GGA).

Results
The final energy is -4.7051 eV per atom. For the calculated density, the calculation gives 9.4 g/cm3. The symmetry is P4mm (99).

Unit cell a=3.0920 b=3.0920 c=8.6459 alpha=90.00 beta=90.00 gamma=90.00
Atoms (fractional coordinates):
1 Sb 0.0000 0.0000 0.0000
2 As 0.0000 0.0000 0.5838
3 As 0.5000 0.5000 0.3027
4 Pt 0.5000 0.5000 0.7615

***

(5)
Entry from Alexandria: a relaxed structure of Pu2Ge2Os (PBE-GGA).

Results
As for the energy above the most stable polymorph in this dataset: 0.00 kcal/mol of atoms. The value obtained for the formation energy from the elements is -32.8 kJ per mole of atoms. For the calculated density, the calculation gives 13.2 g/cm3. The symmetry is C2/m (12).

Unit cell a=5.7230 b=5.7230 c=10.0226 alpha=110.72 beta=110.72 gamma=43.11
Atoms (fractional coordinates):
1 Pu 0.0041 0.0041 0.3369
2 Pu 0.1959 0.1959 0.1078
3 Pu 0.8041 0.8041 0.8922
4 Pu 0.9959 0.9959 0.6631
5 Ge 0.3406 0.3406 0.4451
6 Ge 0.4844 0.4844 0.1200
7 Ge 0.5156 0.5156 0.8800
8 Ge 0.6594 0.6594 0.5549
9 Os 0.2783 0.2783 0.6814
10 Os 0.7217 0.7217 0.3186

***

(6)
Entry from Alexandria: a relaxed structure of KNa2AlH6 (PBE-GGA).

Results
As for the energy above the most stable polymorph in this dataset: 0.00 kcal/mol of atoms. For the calculated density, the calculation gives 1.6 g/cm3. The symmetry is P2_1 (4).

Unit cell a=5.5481 b=5.5642 c=7.8868 alpha=90.00 beta=90.14 gamma=90.00
Atoms (fractional coordinates):
1 K 0.2443 0.0000 0.4976
2 K 0.7557 0.5000 0.5024
3 Na 0.2443 0.9621 0.9997
4 Na 0.2586 0.4856 0.7557
5 Na 0.7414 0.9856 0.2443
6 Na 0.7557 0.4621 0.0003
7 Al 0.2374 0.4886 0.2346
8 Al 0.7626 0.9886 0.7654
9 H 0.0092 0.7948 0.7395
10 H 0.0489 0.7383 0.2648
11 H 0.1767 0.5070 0.0193
12 H 0.2858 0.4814 0.4599
13 H 0.4289 0.2355 0.2049
14 H 0.4907 0.6803 0.2085
15 H 0.5093 0.1803 0.7915
16 H 0.5711 0.7355 0.7951
17 H 0.7142 0.9814 0.5401
18 H 0.8233 0.0070 0.9807
19 H 0.9511 0.2383 0.7352
20 H 0.9908 0.2948 0.2605

***

no.,volume (Å³ per atom),spin magnetization (μB/cell)
1,21.744,0.0
2,15.255,0.0
3,18.874,7.1
4,20.664,0.0
5,20.748,0.3
6,12.173,0.0